No. 1
The following is a DFT calculation (GGA-PBE) of crystalline Sc5Ru at its relaxed geometry.

Cell lengths 3.317, 5.830, 7.668 Å; angles 69.20, 90.00, 106.53 degrees
Fractional coordinates of all 6 atoms:
Sc (0.028, 0.056, 0.444)
Sc (0.692, 0.384, 0.656)
Sc (0.391, 0.783, 0.810)
Sc (0.364, 0.727, 0.233)
Sc (0.664, 0.328, 0.079)
Ru (0.028, 0.056, 0.944)

Summary:
Formation energy   -226 meV per atom
Theoretical density   4.10 g/cm3

---

No. 2
The following is a DFT calculation (GGA-PBE) of crystalline Sc3Ru at its relaxed geometry.

Cell lengths 3.512, 4.615, 4.837 Å; angles 90.00, 90.00, 90.00 degrees
Fractional coordinates of all 4 atoms:
Ru (0.000, 0.000, 0.966)
Sc (0.500, 0.000, 0.447)
Sc (0.000, 0.500, 0.364)
Sc (0.500, 0.500, 0.889)

Summary:
Formation energy   -153 meV per atom
Theoretical density   5.00 g/cm3